## CrGePdO (GGA+U)

Data for CrGePdO after structural relaxation.

Cell: 2.981 4.267 5.875 Å, 90.72 89.88 69.96°
Site moments in Bohr magnetons follow the coordinates.
Element x y z (fractional)
Cr  0.916  0.326  0.042  3.48
Pd  0.369  0.421  0.606  -0.04
Ge  0.651  0.860  0.772  -0.10
O  0.399  0.359  0.245  -0.14

excess energy over the best structure of this formula in the dataset: 282.0 meV/atom
E: -24.11 eV per cell